i | Entry from OQMD via LeMat-Bulk: ZrAgPO after structural relaxation (PBE-GGA).

```
data_ZrAgPO
_chemical_formula_sum 'Zr2 Ag2 P2 O2'
_symmetry_space_group_name_H-M 'P 4/n m m'
_symmetry_Int_Tables_number 129
_cell_length_a 5.242
_cell_length_b 5.242
_cell_length_c 4.604
_cell_angle_alpha 90.00
_cell_angle_beta 90.00
_cell_angle_gamma 90.00
loop_
_symmetry_equiv_pos_as_xyz
'x,y,z'
'-x,-y,-z'
'-y+1/2,x,z'
'y+1/2,-x,-z'
'-x+1/2,-y+1/2,z'
'x+1/2,y+1/2,-z'
'y,-x+1/2,z'
'-y,x+1/2,-z'
'x+1/2,-y,-z'
'-x+1/2,y,z'
'-y,-x,-z'
'y,x,z'
'-x,y+1/2,-z'
'x,-y+1/2,z'
'y+1/2,x+1/2,-z'
'-y+1/2,-x+1/2,z'
loop_
_atom_site_label
_atom_site_type_symbol
_atom_site_fract_x
_atom_site_fract_y
_atom_site_fract_z
Zr1 Zr 0.250 0.750 0.000
Ag1 Ag 0.250 0.250 0.443
P1 P 0.250 0.250 0.946
O1 O 0.250 0.750 0.500
```

Values from the calculation:
Density, g cm⁻³: 6.46
Total moment, Bohr magnetons per cell: 0.00

ii | Entry from OQMD via LeMat-Bulk: ZrAgPO after structural relaxation (PBE-GGA).

```
data_ZrAgPO
_chemical_formula_sum 'Zr2 Ag2 P2 O2'
_symmetry_space_group_name_H-M 'P 4/n m m'
_symmetry_Int_Tables_number 129
_cell_length_a 3.704
_cell_length_b 3.704
_cell_length_c 8.788
_cell_angle_alpha 90.00
_cell_angle_beta 90.00
_cell_angle_gamma 90.00
loop_
_symmetry_equiv_pos_as_xyz
'x,y,z'
'-x,-y,-z'
'-y+1/2,x,z'
'y+1/2,-x,-z'
'-x+1/2,-y+1/2,z'
'x+1/2,y+1/2,-z'
'y,-x+1/2,z'
'-y,x+1/2,-z'
'x+1/2,-y,-z'
'-x+1/2,y,z'
'-y,-x,-z'
'y,x,z'
'-x,y+1/2,-z'
'x,-y+1/2,z'
'y+1/2,x+1/2,-z'
'-y+1/2,-x+1/2,z'
loop_
_atom_site_label
_atom_site_type_symbol
_atom_site_fract_x
_atom_site_fract_y
_atom_site_fract_z
Zr1 Zr 0.250 0.250 0.141
Ag1 Ag 0.250 0.750 0.500
P1 P 0.250 0.250 0.721
O1 O 0.250 0.750 0.000
```

Values from the calculation:
Density, g cm⁻³: 6.78
Total moment, Bohr magnetons per cell: 0.00

iii | Entry from OQMD via LeMat-Bulk: ZrAgPO after structural relaxation (PBE-GGA).

```
data_ZrAgPO
_chemical_formula_sum 'Zr2 Ag2 P2 O2'
_symmetry_space_group_name_H-M 'P m c 21'
_symmetry_Int_Tables_number 26
_cell_length_a 4.175
_cell_length_b 5.884
_cell_length_c 5.512
_cell_angle_alpha 90.00
_cell_angle_beta 90.00
_cell_angle_gamma 90.00
loop_
_symmetry_equiv_pos_as_xyz
'x,y,z'
'-x,-y,z+1/2'
'-x,y,z'
'x,-y,z+1/2'
loop_
_atom_site_label
_atom_site_type_symbol
_atom_site_fract_x
_atom_site_fract_y
_atom_site_fract_z
Zr1 Zr 0.000 0.217 0.000
Ag1 Ag 0.500 0.410 0.595
P1 P 0.000 0.234 0.500
O1 O 0.500 0.195 0.029
```

Values from the calculation:
Density, g cm⁻³: 6.04
Total moment, Bohr magnetons per cell: 0.01

The computed energies, referenced to the most stable structure and given in meV per atom, are i 387; ii 0; iii 221.

i | Entry from OQMD via LeMat-Bulk: AgPdSeO after structural relaxation (PBE-GGA).

```
data_AgPdSeO
_chemical_formula_sum 'Ag4 Pd4 Se4 O4'
_symmetry_space_group_name_H-M 'P c a 21'
_symmetry_Int_Tables_number 29
_cell_length_a 6.077
_cell_length_b 7.269
_cell_length_c 5.937
_cell_angle_alpha 90.00
_cell_angle_beta 90.00
_cell_angle_gamma 90.00
loop_
_symmetry_equiv_pos_as_xyz
'x,y,z'
'-x,-y,z+1/2'
'-x+1/2,y,z+1/2'
'x+1/2,-y,z'
loop_
_atom_site_label
_atom_site_type_symbol
_atom_site_fract_x
_atom_site_fract_y
_atom_site_fract_z
Ag1 Ag 0.188 0.154 0.000
Pd1 Pd 0.117 0.713 0.894
Se1 Se 0.008 0.593 0.264
O1 O 0.188 0.885 0.601
```

Values from the calculation:
Density, g cm⁻³: 7.83

ii | Entry from OQMD via LeMat-Bulk: AgPdSeO after structural relaxation (PBE-GGA).

```
data_AgPdSeO
_chemical_formula_sum 'Ag2 Pd2 Se2 O2'
_symmetry_space_group_name_H-M 'P 4/n m m'
_symmetry_Int_Tables_number 129
_cell_length_a 3.958
_cell_length_b 3.958
_cell_length_c 8.943
_cell_angle_alpha 90.00
_cell_angle_beta 90.00
_cell_angle_gamma 90.00
loop_
_symmetry_equiv_pos_as_xyz
'x,y,z'
'-x,-y,-z'
'-y+1/2,x,z'
'y+1/2,-x,-z'
'-x+1/2,-y+1/2,z'
'x+1/2,y+1/2,-z'
'y,-x+1/2,z'
'-y,x+1/2,-z'
'x+1/2,-y,-z'
'-x+1/2,y,z'
'-y,-x,-z'
'y,x,z'
'-x,y+1/2,-z'
'x,-y+1/2,z'
'y+1/2,x+1/2,-z'
'-y+1/2,-x+1/2,z'
loop_
_atom_site_label
_atom_site_type_symbol
_atom_site_fract_x
_atom_site_fract_y
_atom_site_fract_z
Ag1 Ag 0.250 0.250 0.156
Pd1 Pd 0.250 0.250 0.692
Se1 Se 0.250 0.750 0.500
O1 O 0.250 0.250 0.911
```

Values from the calculation:
Density, g cm⁻³: 7.33

The computed energies, referenced to the most stable structure and given in meV per atom, are i 0; ii 350.

i | Entry from OQMD via LeMat-Bulk: AgPdSeO after structural relaxation (PBE-GGA).

```
data_AgPdSeO
_chemical_formula_sum 'Ag4 Pd4 Se4 O4'
_symmetry_space_group_name_H-M 'P 21 21 21'
_symmetry_Int_Tables_number 19
_cell_length_a 6.027
_cell_length_b 6.529
_cell_length_c 7.269
_cell_angle_alpha 90.00
_cell_angle_beta 90.00
_cell_angle_gamma 90.00
loop_
_symmetry_equiv_pos_as_xyz
'x,y,z'
'-x+1/2,-y,z+1/2'
'x+1/2,-y+1/2,-z'
'-x,y+1/2,-z+1/2'
loop_
_atom_site_label
_atom_site_type_symbol
_atom_site_fract_x
_atom_site_fract_y
_atom_site_fract_z
Ag1 Ag 0.011 0.078 0.398
Pd1 Pd 0.019 0.612 0.724
Se1 Se 0.228 0.636 0.397
O1 O 0.134 0.856 0.867
```

Values from the calculation:
Density, g cm⁻³: 7.18

ii | Entry from OQMD via LeMat-Bulk: AgPdSeO after structural relaxation (PBE-GGA).

```
data_AgPdSeO
_chemical_formula_sum 'Ag2 Pd2 Se2 O2'
_symmetry_space_group_name_H-M 'P 4/n m m'
_symmetry_Int_Tables_number 129
_cell_length_a 3.881
_cell_length_b 3.881
_cell_length_c 8.646
_cell_angle_alpha 90.00
_cell_angle_beta 90.00
_cell_angle_gamma 90.00
loop_
_symmetry_equiv_pos_as_xyz
'x,y,z'
'-x,-y,-z'
'-y+1/2,x,z'
'y+1/2,-x,-z'
'-x+1/2,-y+1/2,z'
'x+1/2,y+1/2,-z'
'y,-x+1/2,z'
'-y,x+1/2,-z'
'x+1/2,-y,-z'
'-x+1/2,y,z'
'-y,-x,-z'
'y,x,z'
'-x,y+1/2,-z'
'x,-y+1/2,z'
'y+1/2,x+1/2,-z'
'-y+1/2,-x+1/2,z'
loop_
_atom_site_label
_atom_site_type_symbol
_atom_site_fract_x
_atom_site_fract_y
_atom_site_fract_z
Ag1 Ag 0.250 0.750 0.000
Pd1 Pd 0.250 0.250 0.252
Se1 Se 0.250 0.250 0.700
O1 O 0.250 0.250 0.505
```

Values from the calculation:
Density, g cm⁻³: 7.88

iii | Entry from OQMD via LeMat-Bulk: AgPdSeO after structural relaxation (PBE-GGA).

```
data_AgPdSeO
_chemical_formula_sum 'Ag2 Pd2 Se2 O2'
_symmetry_space_group_name_H-M 'P 4/n m m'
_symmetry_Int_Tables_number 129
_cell_length_a 3.943
_cell_length_b 3.943
_cell_length_c 9.030
_cell_angle_alpha 90.00
_cell_angle_beta 90.00
_cell_angle_gamma 90.00
loop_
_symmetry_equiv_pos_as_xyz
'x,y,z'
'-x,-y,-z'
'-y+1/2,x,z'
'y+1/2,-x,-z'
'-x+1/2,-y+1/2,z'
'x+1/2,y+1/2,-z'
'y,-x+1/2,z'
'-y,x+1/2,-z'
'x+1/2,-y,-z'
'-x+1/2,y,z'
'-y,-x,-z'
'y,x,z'
'-x,y+1/2,-z'
'x,-y+1/2,z'
'y+1/2,x+1/2,-z'
'-y+1/2,-x+1/2,z'
loop_
_atom_site_label
_atom_site_type_symbol
_atom_site_fract_x
_atom_site_fract_y
_atom_site_fract_z
Ag1 Ag 0.250 0.250 0.152
Pd1 Pd 0.250 0.250 0.693
Se1 Se 0.250 0.750 0.500
O1 O 0.250 0.250 0.909
```

Values from the calculation:
Density, g cm⁻³: 7.32

iv | Entry from OQMD via LeMat-Bulk: AgPdSeO after structural relaxation (PBE-GGA).

```
data_AgPdSeO
_chemical_formula_sum 'Ag4 Pd4 Se4 O4'
_symmetry_space_group_name_H-M 'P 21 21 21'
_symmetry_Int_Tables_number 19
_cell_length_a 6.099
_cell_length_b 6.505
_cell_length_c 6.772
_cell_angle_alpha 90.00
_cell_angle_beta 90.00
_cell_angle_gamma 90.00
loop_
_symmetry_equiv_pos_as_xyz
'x,y,z'
'-x+1/2,-y,z+1/2'
'x+1/2,-y+1/2,-z'
'-x,y+1/2,-z+1/2'
loop_
_atom_site_label
_atom_site_type_symbol
_atom_site_fract_x
_atom_site_fract_y
_atom_site_fract_z
Ag1 Ag 0.004 0.250 0.009
Pd1 Pd 0.001 0.750 0.001
Se1 Se 0.244 0.028 0.735
O1 O 0.249 0.442 0.463
```

Values from the calculation:
Density, g cm⁻³: 7.65

The computed energies, referenced to the most stable structure and given in meV per atom, are i 0; ii 121; iii 396; iv 50.

i | Entry from OQMD via LeMat-Bulk: Pr2Ag2O5 after structural relaxation (PBE-GGA).

```
data_Pr2Ag2O5
_chemical_formula_sum 'Pr2 Ag2 O5'
_symmetry_space_group_name_H-M 'P 4/m m m'
_symmetry_Int_Tables_number 123
_symmetry_space_group_name_Hall '-P 4 2'
_cell_length_a 4.114
_cell_length_b 4.114
_cell_length_c 9.248
_cell_angle_alpha 90.00
_cell_angle_beta 90.00
_cell_angle_gamma 90.00
loop_
_atom_site_label
_atom_site_type_symbol
_atom_site_fract_x
_atom_site_fract_y
_atom_site_fract_z
Pr1 Pr 0.000 0.000 0.248
Ag1 Ag 0.500 0.500 0.000
Ag2 Ag 0.500 0.500 0.500
O1 O 0.000 0.000 0.500
O2 O 0.000 0.500 0.144
```

Values from the calculation:
Density, g cm⁻³: 6.13
Total moment, Bohr magnetons per cell: 2.13

ii | Entry from OQMD via LeMat-Bulk: Pr2Ag2O5 after structural relaxation (PBE-GGA).

```
data_Pr2Ag2O5
_chemical_formula_sum 'Pr2 Ag2 O5'
_symmetry_space_group_name_H-M 'P 4/m m m'
_symmetry_Int_Tables_number 123
_symmetry_space_group_name_Hall '-P 4 2'
_cell_length_a 4.158
_cell_length_b 4.158
_cell_length_c 7.172
_cell_angle_alpha 90.00
_cell_angle_beta 90.00
_cell_angle_gamma 90.00
loop_
_atom_site_label
_atom_site_type_symbol
_atom_site_fract_x
_atom_site_fract_y
_atom_site_fract_z
Pr1 Pr 0.000 0.000 0.000
Pr2 Pr 0.000 0.000 0.500
Ag1 Ag 0.500 0.500 0.195
O1 O 0.000 0.500 0.219
O2 O 0.500 0.500 0.500
```

Values from the calculation:
Density, g cm⁻³: 7.73
Total moment, Bohr magnetons per cell: 0.00

The computed energies, referenced to the most stable structure and given in meV per atom, are i 132; ii 0.